# In2MoOs

In2MoOs after structural relaxation (PBEsol, Alexandria via LeMat-Bulk).

The structure in POSCAR format:
```
In2MoOs
1.0
2.897 -0.011 0.000
-1.169 2.650 0.000
0.000 0.000 9.049
In Mo Os
2 1 1
Cartesian
0.000 0.000 2.214
0.000 0.000 6.835
0.864 1.320 4.524
0.864 1.320 0.000
```

Symmetry: Cmmm, No. 65
V in Å³/cell: 69.36
Formation enthalpy at 0 K in meV per atom: 597
ΔE to the lowest computed polymorph in meV/atom: 66
Magnetization in μB per formula unit: 0.0

---

# In2MoOs

In2MoOs after structural relaxation (PBEsol, Alexandria via LeMat-Bulk).

The structure in POSCAR format:
```
In2MoOs
1.0
-1.601 1.945 -1.557
-2.957 -0.048 0.164
-1.226 6.441 6.492
In Mo Os
2 1 1
Cartesian
-1.448 2.046 1.228
-4.336 6.293 3.872
-2.892 4.169 2.550
0.000 0.000 0.000
```

Symmetry: R-3m, No. 166
V in Å³/cell: 68.88
Formation enthalpy at 0 K in meV per atom: 531
ΔE to the lowest computed polymorph in meV/atom: 0
Magnetization in μB per formula unit: 0.0

---

# In2MoOs

In2MoOs after structural relaxation (PBEsol, Alexandria via LeMat-Bulk).

The structure in POSCAR format:
```
In2MoOs
1.0
-1.627 1.361 2.044
0.873 -3.358 2.930
4.510 2.284 1.274
In Mo Os
2 1 1
Cartesian
2.088 2.774 2.557
0.794 0.871 0.761
-0.377 -0.999 2.487
2.691 -0.537 2.102
```

Symmetry: P2/m, No. 10
V in Å³/cell: 69.35
Formation enthalpy at 0 K in meV per atom: 574
ΔE to the lowest computed polymorph in meV/atom: 43
Magnetization in μB per formula unit: 0.0

---

# InMo2P

InMo2P after structural relaxation (PBEsol, Alexandria via LeMat-Bulk).

The structure in POSCAR format:
```
InMo2P
1.0
-1.022 -1.813 -2.288
-0.412 -2.595 2.240
-5.290 2.416 1.827
In Mo P
1 2 1
Cartesian
-3.362 -0.996 0.889
-4.348 1.689 1.158
-1.964 -1.086 -1.619
-0.717 -2.204 -0.024
```

Symmetry: P2/m, No. 10
V in Å³/cell: 64.19
Formation enthalpy at 0 K in meV per atom: 26
ΔE to the lowest computed polymorph in meV/atom: 54
Magnetization in μB per formula unit: 0.0

---

# InMo3P

InMo3P after structural relaxation (PBEsol, Alexandria via LeMat-Bulk).

The structure in POSCAR format:
```
InMo3P
1.0
4.440 0.000 0.000
0.000 4.440 0.000
0.000 0.000 4.440
P Mo In
1 3 1
Cartesian
0.000 0.000 0.000
0.000 2.220 0.000
0.000 0.000 2.220
2.220 0.000 0.000
2.220 2.220 2.220
```

Symmetry: Pm-3m, No. 221
V in Å³/cell: 87.53
Formation enthalpy at 0 K in meV per atom: 422
Magnetization in μB per formula unit: 0.0

---

# InMo2P

InMo2P after structural relaxation (PBEsol, Alexandria via LeMat-Bulk).

The structure in POSCAR format:
```
InMo2P
1.0
-0.894 -2.992 0.150
2.941 -0.807 1.427
-3.562 2.950 5.037
In Mo P
1 2 1
Cartesian
-1.461 -1.076 2.401
-0.085 0.035 0.195
-0.192 0.284 4.527
-2.317 0.959 5.316
```

Symmetry: Imm2, No. 44
V in Å³/cell: 67.80
Formation enthalpy at 0 K in meV per atom: -28
ΔE to the lowest computed polymorph in meV/atom: 0
Magnetization in μB per formula unit: 0.0

---

# InMo2Pb

InMo2Pb after structural relaxation (PBEsol, Alexandria via LeMat-Bulk).

The structure in POSCAR format:
```
InMo2Pb
1.0
-0.651 2.892 0.396
-0.136 -1.589 2.530
9.578 1.920 1.721
In Mo Pb
1 2 1
Cartesian
1.665 1.064 1.833
9.321 1.869 1.675
7.123 2.159 2.814
5.050 1.013 0.908
```

Symmetry: Cmm2, No. 35
V in Å³/cell: 81.63
Formation enthalpy at 0 K in meV per atom: 458
ΔE to the lowest computed polymorph in meV/atom: 100
Magnetization in μB per formula unit: 0.0

---

# InMo2Pb

InMo2Pb after structural relaxation (PBEsol, Alexandria via LeMat-Bulk).

The structure in POSCAR format:
```
InMo2Pb
1.0
-0.046 -2.661 -1.743
2.724 -1.474 -0.725
0.219 -6.409 6.877
In Mo Pb
1 2 1
Cartesian
0.744 -2.492 0.882
0.239 -6.265 6.657
2.150 -8.086 3.580
1.434 -5.382 2.373
```

Symmetry: R3m, No. 160
V in Å³/cell: 80.82
Formation enthalpy at 0 K in meV per atom: 358
ΔE to the lowest computed polymorph in meV/atom: 0
Magnetization in μB per formula unit: 0.0

---

# InMo2Pb

InMo2Pb after structural relaxation (PBEsol, Alexandria via LeMat-Bulk).

The structure in POSCAR format:
```
InMo2Pb
1.0
-0.013 2.949 -0.270
-2.433 -1.137 -1.248
-4.385 0.706 7.905
In Mo Pb
1 2 1
Cartesian
-1.223 0.906 -0.759
-1.083 0.174 1.953
-3.301 0.531 5.952
-3.415 1.259 3.194
```

Symmetry: Cmmm, No. 65
V in Å³/cell: 74.76
Formation enthalpy at 0 K in meV per atom: 717
ΔE to the lowest computed polymorph in meV/atom: 359
Magnetization in μB per formula unit: 0.0

---

# In2MoPb

In2MoPb after structural relaxation (PBEsol, Alexandria via LeMat-Bulk).

The structure in POSCAR format:
```
In2MoPb
1.0
3.202 0.000 0.000
0.000 4.815 0.000
-1.601 0.000 5.568
In Mo Pb
2 1 1
Cartesian
0.000 0.000 0.438
0.000 2.408 4.962
0.000 0.000 3.407
1.601 2.408 2.352
```

Symmetry: Amm2, No. 38
V in Å³/cell: 85.85
Formation enthalpy at 0 K in meV per atom: 450
Magnetization in μB per formula unit: 0.0

---

# In3MoPd

In3MoPd after structural relaxation (PBEsol, Alexandria via LeMat-Bulk).

The structure in POSCAR format:
```
In3MoPd
1.0
4.997 0.000 0.000
0.000 4.997 0.000
0.000 0.000 4.997
Mo Pd In
1 1 3
Cartesian
2.499 2.499 2.499
0.000 0.000 0.000
0.000 2.499 0.000
0.000 0.000 2.499
2.499 0.000 0.000
```

Symmetry: Pm-3m, No. 221
V in Å³/cell: 124.81
Formation enthalpy at 0 K in meV per atom: 811
Magnetization in μB per formula unit: 4.0

---

# ScInMo2Pd

ScInMo2Pd after structural relaxation (PBEsol, Alexandria via LeMat-Bulk).

The structure in POSCAR format:
```
ScInMo2Pd
1.0
4.728 0.000 0.000
0.000 4.728 0.000
0.000 0.000 4.809
Sc Mo Pd In
1 2 1 1
Cartesian
0.000 0.000 2.405
0.000 2.364 0.000
2.364 0.000 0.000
0.000 0.000 0.000
2.364 2.364 2.405
```

Symmetry: P4/mmm, No. 123
V in Å³/cell: 107.52
Formation enthalpy at 0 K in meV per atom: 1088
Magnetization in μB per formula unit: 0.0